1.
# La2TbHg PBE relaxed
# **Formation energy**: -0.97 eV per formula unit
# **Crystal system**: tetragonal
# **Density of states at the Fermi level**: 1.1316 states/eV/atom
data_La2TbHg
_space_group_name_H-M_alt 'I 4/m m m'
_space_group_IT_number 139
_space_group_name_Hall '-I 4 2'
_cell_length_a 5.337
_cell_length_b 5.337
_cell_length_c 17.796
_cell_angle_alpha 90.00
_cell_angle_beta 90.00
_cell_angle_gamma 90.00
loop_
_atom_site_label
_atom_site_type_symbol
_atom_site_fract_x
_atom_site_fract_y
_atom_site_fract_z
La1 La 0.000 0.000 0.137
La2 La 0.000 0.500 0.000
Tb1 Tb 0.000 0.000 0.354
Hg1 Hg 0.000 0.500 0.250


2.
# LaCdBi2Au PBE relaxed
# **Formation energy**: 3.77 eV per formula unit
# **Crystal system**: tetragonal
# **Density of states at the Fermi level**: 1.3405 states/eV/atom
data_LaCdBi2Au
_space_group_name_H-M_alt 'P 4/m m m'
_space_group_IT_number 123
_space_group_name_Hall '-P 4 2'
_cell_length_a 6.142
_cell_length_b 6.142
_cell_length_c 6.188
_cell_angle_alpha 90.00
_cell_angle_beta 90.00
_cell_angle_gamma 90.00
loop_
_atom_site_label
_atom_site_type_symbol
_atom_site_fract_x
_atom_site_fract_y
_atom_site_fract_z
La1 La 0.000 0.000 0.000
Cd1 Cd 0.000 0.000 0.500
Bi1 Bi 0.000 0.500 0.000
Au1 Au 0.500 0.500 0.500


3.
# BeHg4Ru PBE relaxed
# **Formation energy**: 6.22 eV per formula unit
# **Crystal system**: cubic
# **Density of states at the Fermi level**: 0.8106 states/eV/atom
data_BeHg4Ru
_space_group_name_H-M_alt 'F -4 3 m'
_space_group_IT_number 216
_space_group_name_Hall 'F -4 2 3'
_cell_length_a 7.942
_cell_length_b 7.942
_cell_length_c 7.942
_cell_angle_alpha 90.00
_cell_angle_beta 90.00
_cell_angle_gamma 90.00
loop_
_atom_site_label
_atom_site_type_symbol
_atom_site_fract_x
_atom_site_fract_y
_atom_site_fract_z
Be1 Be 0.000 0.000 0.000
Hg1 Hg 0.125 0.125 0.625
Ru1 Ru 0.250 0.250 0.250


4.
# FeBI2 PBE relaxed
# **Crystal system**: tetragonal
# **Density of states at the Fermi level**: 0.3699 states/eV/atom
data_FeBI2
_space_group_name_H-M_alt 'I -4 2 d'
_space_group_IT_number 122
_space_group_name_Hall 'I -4 2bw'
_cell_length_a 6.319
_cell_length_b 6.319
_cell_length_c 11.838
_cell_angle_alpha 90.00
_cell_angle_beta 90.00
_cell_angle_gamma 90.00
loop_
_atom_site_label
_atom_site_type_symbol
_atom_site_fract_x
_atom_site_fract_y
_atom_site_fract_z
Fe1 Fe 0.000 0.000 0.000
B1 B 0.000 0.000 0.500
I1 I 0.231 0.250 0.125


5.
# FeAsC PBE relaxed
# **Formation energy**: 1.40 eV per formula unit
# **Crystal system**: monoclinic
# **Density of states at the Fermi level**: 0.4159 states/eV/atom
data_FeAsC
_space_group_name_H-M_alt 'P 1 m 1'
_space_group_IT_number 6
_cell_length_a 4.961
_cell_length_b 2.921
_cell_length_c 6.535
_cell_angle_alpha 90.00
_cell_angle_beta 103.04
_cell_angle_gamma 90.00
loop_
_space_group_symop_operation_xyz
'x,y,z'
'x,-y,z'
loop_
_atom_site_label
_atom_site_type_symbol
_atom_site_fract_x
_atom_site_fract_y
_atom_site_fract_z
Fe1 Fe 0.000 0.000 0.000
Fe2 Fe 0.463 0.000 0.950
As1 As 0.704 0.500 0.741
As2 As 0.941 0.500 0.345
C1 C 0.230 0.500 0.970
C2 C 0.742 0.000 0.191


6.
# Li6ZnF8 PBE relaxed
# **Crystal system**: cubic
# **Density of states at the Fermi level**: 0.0000 states/eV/atom
data_Li6ZnF8
_space_group_name_H-M_alt 'F m -3 m'
_space_group_IT_number 225
_space_group_name_Hall '-F 4 2 3'
_cell_length_a 8.333
_cell_length_b 8.333
_cell_length_c 8.333
_cell_angle_alpha 90.00
_cell_angle_beta 90.00
_cell_angle_gamma 90.00
loop_
_atom_site_label
_atom_site_type_symbol
_atom_site_fract_x
_atom_site_fract_y
_atom_site_fract_z
Li1 Li 0.000 0.250 0.250
Zn1 Zn 0.000 0.000 0.000
F1 F 0.000 0.000 0.243
F2 F 0.250 0.250 0.250


7.
# Ac16Ir5Ru3 PBE relaxed
# **Formation energy**: -10.51 eV per formula unit
# **Crystal system**: monoclinic
# **Density of states at the Fermi level**: 0.4569 states/eV/atom
data_Ac16Ir5Ru3
_space_group_name_H-M_alt 'C 1 m 1'
_space_group_IT_number 8
_cell_length_a 15.004
_cell_length_b 8.660
_cell_length_c 13.940
_cell_angle_alpha 90.00
_cell_angle_beta 90.04
_cell_angle_gamma 90.00
loop_
_space_group_symop_operation_xyz
'x,y,z'
'x,-y,z'
'x+1/2,y+1/2,z'
'x+1/2,-y+1/2,z'
loop_
_atom_site_label
_atom_site_type_symbol
_atom_site_fract_x
_atom_site_fract_y
_atom_site_fract_z
Ac1 Ac 0.000 0.000 0.000
Ac2 Ac 0.001 0.000 0.500
Ac3 Ac 0.010 0.500 0.513
Ac4 Ac 0.083 0.247 0.771
Ac5 Ac 0.163 0.500 0.276
Ac6 Ac 0.164 0.000 0.273
Ac7 Ac 0.241 0.269 0.513
Ac8 Ac 0.254 0.230 0.014
Ac9 Ac 0.329 0.000 0.775
Ac10 Ac 0.334 0.500 0.769
Ac11 Ac 0.418 0.251 0.272
Ac12 Ac 0.485 0.000 0.013
Ir1 Ir 0.166 0.500 0.653
Ir2 Ir 0.332 0.500 0.388
Ir3 Ir 0.333 0.000 0.153
Ir4 Ir 0.415 0.250 0.888
Ru1 Ru 0.081 0.249 0.388
Ru2 Ru 0.164 0.000 0.888


8.
# KHgHPd PBE relaxed
# **Crystal system**: tetragonal
# **Density of states at the Fermi level**: 0.2006 states/eV/atom
data_KHgHPd
_space_group_name_H-M_alt 'P 4/n m m'
_space_group_IT_number 129
_cell_length_a 4.544
_cell_length_b 4.544
_cell_length_c 8.969
_cell_angle_alpha 90.00
_cell_angle_beta 90.00
_cell_angle_gamma 90.00
loop_
_space_group_symop_operation_xyz
'x,y,z'
'-x,-y,-z'
'-y+1/2,x,z'
'y+1/2,-x,-z'
'-x+1/2,-y+1/2,z'
'x+1/2,y+1/2,-z'
'y,-x+1/2,z'
'-y,x+1/2,-z'
'x+1/2,-y,-z'
'-x+1/2,y,z'
'-y,-x,-z'
'y,x,z'
'-x,y+1/2,-z'
'x,-y+1/2,z'
'y+1/2,x+1/2,-z'
'-y+1/2,-x+1/2,z'
loop_
_atom_site_label
_atom_site_type_symbol
_atom_site_fract_x
_atom_site_fract_y
_atom_site_fract_z
K1 K 0.250 0.250 0.167
Hg1 Hg 0.250 0.750 0.500
H1 H 0.250 0.250 0.868
Pd1 Pd 0.250 0.250 0.682


9.
# AcNi2As3 PBE relaxed
# **Formation energy**: -3.17 eV per formula unit
# **Crystal system**: tetragonal
# **Density of states at the Fermi level**: 0.6858 states/eV/atom
data_AcNi2As3
_space_group_name_H-M_alt 'I 4/m m m'
_space_group_IT_number 139
_space_group_name_Hall '-I 4 2'
_cell_length_a 4.491
_cell_length_b 4.491
_cell_length_c 12.501
_cell_angle_alpha 90.00
_cell_angle_beta 90.00
_cell_angle_gamma 90.00
loop_
_atom_site_label
_atom_site_type_symbol
_atom_site_fract_x
_atom_site_fract_y
_atom_site_fract_z
Ac1 Ac 0.000 0.000 0.000
Ni1 Ni 0.000 0.000 0.318
As1 As 0.000 0.000 0.500
As2 As 0.000 0.500 0.250


10.
# Tb2GeB2O8 PBE relaxed
# **Crystal system**: orthorhombic
# **Density of states at the Fermi level**: 0.0000 states/eV/atom
data_Tb2GeB2O8
_space_group_name_H-M_alt 'P b c n'
_space_group_IT_number 60
_cell_length_a 13.533
_cell_length_b 4.426
_cell_length_c 9.370
_cell_angle_alpha 90.00
_cell_angle_beta 90.00
_cell_angle_gamma 90.00
loop_
_space_group_symop_operation_xyz
'x,y,z'
'-x,-y,-z'
'-x+1/2,-y+1/2,z+1/2'
'x+1/2,y+1/2,-z+1/2'
'x+1/2,-y+1/2,-z'
'-x+1/2,y+1/2,z'
'-x,y,-z+1/2'
'x,-y,z+1/2'
loop_
_atom_site_label
_atom_site_type_symbol
_atom_site_fract_x
_atom_site_fract_y
_atom_site_fract_z
Tb1 Tb 0.140 0.043 0.026
Ge1 Ge 0.000 0.422 0.750
B1 B 0.200 0.470 0.296
O1 O 0.005 0.199 0.903
O2 O 0.107 0.342 0.231
O3 O 0.192 0.462 0.451
O4 O 0.215 0.214 0.741


11.
# KZr2Pb PBE relaxed
# **Formation energy**: 2.55 eV per formula unit
# **Crystal system**: orthorhombic
# **Density of states at the Fermi level**: 1.1155 states/eV/atom
data_KZr2Pb
_space_group_name_H-M_alt 'C m m m'
_space_group_IT_number 65
_space_group_name_Hall '-C 2 2'
_cell_length_a 6.514
_cell_length_b 10.670
_cell_length_c 3.122
_cell_angle_alpha 90.00
_cell_angle_beta 90.00
_cell_angle_gamma 90.00
loop_
_atom_site_label
_atom_site_type_symbol
_atom_site_fract_x
_atom_site_fract_y
_atom_site_fract_z
K1 K 0.000 0.000 0.000
Zr1 Zr 0.250 0.250 0.500
Pb1 Pb 0.000 0.500 0.000


12.
# GdAgAu2 PBE relaxed
# **Formation energy**: -1.75 eV per formula unit
# **Crystal system**: tetragonal
# **Density of states at the Fermi level**: 0.8812 states/eV/atom
data_GdAgAu2
_space_group_name_H-M_alt 'P 4/m m m'
_space_group_IT_number 123
_space_group_name_Hall '-P 4 2'
_cell_length_a 4.658
_cell_length_b 4.658
_cell_length_c 3.918
_cell_angle_alpha 90.00
_cell_angle_beta 90.00
_cell_angle_gamma 90.00
loop_
_atom_site_label
_atom_site_type_symbol
_atom_site_fract_x
_atom_site_fract_y
_atom_site_fract_z
Gd1 Gd 0.000 0.000 0.000
Ag1 Ag 0.500 0.500 0.000
Au1 Au 0.000 0.500 0.500


Per-record raw total energy, eV per cell: -63.01 -13.11 -31.95 -54.82 -41.88 -278.52 -296.75 -21.50 -65.58 -412.09 -38.71 -25.24
Per-record size of the total moment, μB per formula unit: 0.0 0.0 0.5 3.0 0.1 0.0 0.0 0.0 0.0 0.0 0.0 7.2